#one
First-principles (PBE) data for a relaxed ZnCuIr crystal, as listed in Alexandria.

The space group is P-6m2 (No. 187) and the conventional cell measures 4.1838, 4.1838 and 2.6792 Å, with angles of 90.00, 90.00 and 120.00 degrees. The asymmetric unit holds Zn at (0.0000, 0.0000, 0.0000), Cu at (0.3333, 0.6667, 0.0000) and Ir at (0.6667, 0.3333, 0.5000).

For the density, the calculation gives 13.13 g/cm³.

#two
First-principles (PBE) data for a relaxed ZnCuIr crystal, as listed in Alexandria.

The space group is C2/m (No. 12) and the conventional cell measures 8.5013, 3.8439 and 5.3279 Å, with angles of 90.00, 110.48 and 90.00 degrees. The asymmetric unit holds Zn at (0.1692, 0.0000, 0.0859), Cu at (0.0007, 0.5000, 0.7531) and Ir at (0.1630, 0.0000, 0.5813).

For the density, the calculation gives 13.08 g/cm³.

How far above the most stable structure does each one sit? In meV/atom: #one 45; #two 0.

#one
First-principles (PBE) data for a relaxed ZnCuIr crystal, as listed in Alexandria.

The space group is Imm2 (No. 44) and the conventional cell measures 2.7270, 3.7528 and 7.9882 Å, with angles of 90.00, 90.00 and 90.00 degrees. The asymmetric unit holds Zn at (0.0000, 0.0000, 0.0000), Cu at (0.0000, 0.0000, 0.6695) and Ir at (0.0000, 0.0000, 0.3339).

For the density, the calculation gives 13.05 g/cm³.

#two
First-principles (PBE) data for a relaxed ZnCuIr crystal, as listed in Alexandria.

The space group is I4mm (No. 107) and the conventional cell measures 2.9364, 2.9364 and 9.3292 Å, with angles of 90.00, 90.00 and 90.00 degrees. The asymmetric unit holds Zn at (0.0000, 0.0000, 0.0000), Cu at (0.0000, 0.0000, 0.3434) and Ir at (0.0000, 0.0000, 0.6717).

For the density, the calculation gives 13.26 g/cm³.

How far above the most stable structure does each one sit? In meV/atom: #one 8; #two 0.